(1)
# TbNdGa

An optimized crystal structure of TbNdGa (PBE-GGA, Alexandria via LeMat-Bulk).

The space group is F-43m (No. 216) and the conventional cell measures 7.131, 7.131 and 7.131 Å, with angles of 90.00, 90.00 and 90.00 degrees. The inequivalent atoms are Tb at (0.000, 0.000, 0.000), Nd at (0.000, 0.000, 0.500) and Ga at (0.250, 0.250, 0.750).

The calculation puts the distance to the lowest polymorph of the same formula at 166 meV/atom. The mass density comes out at 6.83 g/cm3. Its formation energy from the elements is -0.2372 eV per atom.

(2)
# TbNd2Ga

An optimized crystal structure of TbNd2Ga (PBE-GGA, Alexandria via LeMat-Bulk).

The space group is R3m (No. 160, hexagonal axes) and the conventional cell measures 3.7165, 3.7165 and 31.3365 Å, with angles of 90.00, 90.00 and 120.00 degrees. The inequivalent atoms are Tb at (0.0000, 0.0000, 0.0000), Nd at (0.0000, 0.0000, 0.5712), Nd at (0.0000, 0.0000, 0.7615) and Ga at (0.0000, 0.0000, 0.1660).

The calculation puts the distance to the lowest polymorph of the same formula at 110 meV/atom. The mass density comes out at 6.87 g/cm3. Its formation energy from the elements is -0.1458 eV per atom.

(3)
# Tb2Nd8Ga

An optimized crystal structure of Tb2Nd8Ga (PBE-GGA, Alexandria via LeMat-Bulk).

The space group is C2/m (No. 12) and the conventional cell measures 19.071, 5.607 and 7.549 Å, with angles of 90.00, 113.23 and 90.00 degrees. The inequivalent atoms are Tb at (0.192, 0.000, 0.191), Nd at (0.000, 0.000, 0.253), Nd at (0.131, 0.500, 0.898), Nd at (0.132, 0.500, 0.367), Nd at (0.182, 0.000, 0.682) and Ga at (0.000, 0.500, 0.500).

The mass density comes out at 6.90 g/cm3. Its formation energy from the elements is -0.0156 eV per atom.

(4)
# Tb3Nd3Ga4

An optimized crystal structure of Tb3Nd3Ga4 (PBE-GGA, Alexandria via LeMat-Bulk).

The space group is Amm2 (No. 38) and the conventional cell measures 4.437, 10.905 and 11.046 Å, with angles of 90.00, 90.00 and 90.00 degrees. The inequivalent atoms are Tb at (0.000, 0.000, 0.000), Tb at (0.000, 0.174, 0.678), Nd at (0.000, 0.000, 0.348), Nd at (0.500, 0.248, 0.426), Ga at (0.500, 0.000, 0.564), Ga at (0.500, 0.000, 0.797) and Ga at (0.500, 0.119, 0.173).

The mass density comes out at 7.38 g/cm3. Its formation energy from the elements is -0.4771 eV per atom.